Record 1
Below is NbInSe2 after structural relaxation, with properties calculated at the PBE-GGA level.

It has space group P-6m2 (No. 187), with a = 3.4735 Å, b = 3.4735 Å, c = 8.7617 Å, α = 90.00°, β = 90.00° and γ = 120.00°. Symmetry generates all atoms from Nb at (0.0000, 0.0000, 0.0000), In at (0.6667, 0.3333, 0.5000) and Se at (0.3333, 0.6667, 0.1930).

As for the calculated total energy: -22.49 eV/cell.



Record 2
Below is SrTc4Ge12 after structural relaxation, with properties calculated at the PBE-GGA level.

It has space group Im-3 (No. 204), with a = 8.8687 Å, b = 8.8687 Å, c = 8.8687 Å, α = 90.00°, β = 90.00° and γ = 90.00°. Symmetry generates all atoms from Sr at (0.0000, 0.0000, 0.0000), Tc at (0.2500, 0.2500, 0.2500) and Ge at (0.0000, 0.3468, 0.1675).

As for the calculated total energy: -190.14 eV/cell.